Density functional theory data (PBE with a Hubbard U) for a relaxed LaCrSbO6 crystal.

Values from the calculation:
- Energy relative to the lowest polymorph listed for this composition: 0.187 eV per atom

a b c (Å): 5.466 5.476 5.507
angles (deg): 90.14 119.49 119.97
Sites, in units of the cell vectors:
O: 0.077 0.769 0.791
O: 0.924 0.202 0.202
O: 0.083 0.290 0.794
O: 0.918 0.700 0.198
O: 0.499 0.235 0.677
O: 0.503 0.744 0.330
Sb: 0.002 0.991 0.505
La: 0.500 0.741 0.759
Cr: 0.995 0.487 0.004